1.
Density functional theory data (SCAN) for a crystal of Ba4CoPb relaxed with PBEsol.

Properties
Calculated volume ... 230.7 Å³ per cell
Total moment ... 0.123 μB/atom
N(E_F) ... 4.197 states/eV per cell
Total energy ... -41.261 eV/atom
ΔH_f (0 K) ... 0.6204 eV/atom

abc: 6.884 6.884 6.884
angles: 60.00 60.00 60.00
Site moments in Bohr magnetons follow the coordinates.
Fractional coordinates of all 6 atoms:
Ba 0.375 0.375 0.375  0.17
Ba 0.375 0.375 0.876  0.17
Ba 0.876 0.375 0.375  0.17
Ba 0.375 0.876 0.375  0.17
Co 0.750 0.750 0.750  -2.34
Pb 0.000 0.000 0.000  -0.05

2.
Density functional theory data (SCAN) for a crystal of BaCoPdPt2 relaxed with PBEsol.

Properties
Calculated volume ... 102.9 Å³ per cell
Total moment ... 0.588 μB/atom
N(E_F) ... 2.501 states/eV per cell
Total energy ... -46.050 eV/atom
ΔH_f (0 K) ... -0.0474 eV/atom

abc: 4.684 4.684 4.691
angles: 90.00 90.00 90.00
Site moments in Bohr magnetons follow the coordinates.
Fractional coordinates of all 5 atoms:
Pd 0.000 0.000 0.500  0.25
Co 0.000 0.000 0.000  2.15
Ba 0.500 0.500 0.500  -0.02
Pt 0.000 0.500 0.000  0.35
Pt 0.500 0.000 0.000  0.35

3.
Density functional theory data (SCAN) for a crystal of Ba2ScCoPd relaxed with PBEsol.

Properties
Calculated volume ... 158.1 Å³ per cell
Total moment ... 0.000 μB/atom
N(E_F) ... 3.334 states/eV per cell
Total energy ... -27.933 eV/atom
ΔH_f (0 K) ... 0.7503 eV/atom

abc: 4.158 6.166 6.166
angles: 90.00 90.00 90.00
Fractional coordinates of all 5 atoms:
Sc 0.000 0.000 0.000
Co 0.500 0.000 0.000
Ba 0.000 0.000 0.500
Ba 0.000 0.500 0.000
Pd 0.500 0.500 0.500

4.
Density functional theory data (SCAN) for a crystal of BaCoPt2 relaxed with PBEsol.

Properties
Calculated volume ... 77.7 Å³ per cell
Total moment ... 0.562 μB/atom
N(E_F) ... 2.703 states/eV per cell
Total energy ... -49.234 eV/atom
ΔH_f (0 K) ... 0.0762 eV/atom

abc: 3.281 3.281 7.222
angles: 90.00 90.00 90.00
Site moments in Bohr magnetons follow the coordinates.
Fractional coordinates of all 4 atoms:
Co 0.500 0.500 0.840  2.02
Ba 0.000 0.000 0.499  -0.03
Pt 0.000 0.000 0.972  0.28
Pt 0.500 0.500 0.189  -0.01

5.
Density functional theory data (SCAN) for a crystal of BaCoPt2 relaxed with PBEsol.

Properties
Calculated volume ... 90.7 Å³ per cell
Total moment ... 0.466 μB/atom
N(E_F) ... 2.822 states/eV per cell
Total energy ... -49.811 eV/atom
ΔH_f (0 K) ... -0.5012 eV/atom

abc: 4.395 4.395 5.984
angles: 68.48 68.48 59.99
Site moments in Bohr magnetons follow the coordinates.
Fractional coordinates of all 4 atoms:
Co 0.680 0.680 0.962  1.85
Ba 0.503 0.503 0.491  -0.03
Pt 0.000 0.000 0.000  0.05
Pt 0.318 0.318 0.048  0.06

6.
Density functional theory data (SCAN) for a crystal of BaCoPt2 relaxed with PBEsol.

Properties
Calculated volume ... 75.2 Å³ per cell
Total moment ... 0.623 μB/atom
N(E_F) ... 2.284 states/eV per cell
Total energy ... -48.944 eV/atom
ΔH_f (0 K) ... 0.3665 eV/atom

abc: 4.309 4.309 5.069
angles: 115.15 115.15 90.00
Site moments in Bohr magnetons follow the coordinates.
Fractional coordinates of all 4 atoms:
Co 0.250 0.750 0.500  2.21
Ba 0.500 0.500 0.000  0.00
Pt 0.000 0.000 0.000  0.18
Pt 0.750 0.250 0.500  0.13

7.
Density functional theory data (SCAN) for a crystal of BaCoPt2 relaxed with PBEsol.

Properties
Calculated volume ... 74.6 Å³ per cell
Total moment ... 0.626 μB/atom
N(E_F) ... 1.667 states/eV per cell
Total energy ... -49.394 eV/atom
ΔH_f (0 K) ... -0.0834 eV/atom

abc: 3.146 3.146 7.534
angles: 90.00 90.00 90.00
Site moments in Bohr magnetons follow the coordinates.
Fractional coordinates of all 4 atoms:
Co 0.500 0.500 0.500  2.21
Ba 0.500 0.500 0.000  -0.01
Pt 0.000 0.000 0.680  0.15
Pt 0.000 0.000 0.320  0.15

8.
Density functional theory data (SCAN) for a crystal of BaCoPt relaxed with PBEsol.

Properties
Calculated volume ... 78.2 Å³ per cell
Total moment ... 0.884 μB/atom
N(E_F) ... 1.679 states/eV per cell
Total energy ... -42.058 eV/atom
ΔH_f (0 K) ... 0.2909 eV/atom

abc: 4.800 4.800 4.800
angles: 60.00 60.00 60.00
Site moments in Bohr magnetons follow the coordinates.
Fractional coordinates of all 3 atoms:
Co 0.500 0.500 0.500  2.45
Ba 0.000 0.000 0.000  0.00
Pt 0.750 0.750 0.750  0.20